Li3Mg3Ga8: optimized geometry, PBE.

The crystal system is orthorhombic. The calculation puts the formation energy at -0.13 eV/atom. As for the size of the total moment: 0.00 μB/f.u. The value obtained for the density of states at the Fermi level is 0.27 states/eV per atom.

The space group is Immm (No. 71) and the conventional cell measures 4.569, 9.746 and 11.855 Å, with angles of 90.00, 90.00 and 90.00 degrees. The distinct sites, in fractional coordinates, are Li at (0.000, 0.000, 0.000), Li at (0.000, 0.302, 0.000), Mg at (0.000, 0.000, 0.500), Mg at (0.000, 0.500, 0.199), Ga at (0.000, 0.140, 0.203) and Ga at (0.000, 0.284, 0.391).